# 1
{"formula": "TmInPb2Cl8", "functional": "PBE", "state": "relaxed", "lattice": [[6.534, 0.000, 0.000], [0.000, 8.902, 0.000], [-0.106, 0.000, 6.820]], "species": ["Tm", "In", "Pb", "Pb", "Cl", "Cl", "Cl", "Cl", "Cl", "Cl", "Cl", "Cl"], "frac_coords": [[0.000, 0.000, 0.000], [0.000, 0.500, 0.000], [0.500, 0.249, 0.500], [0.500, 0.751, 0.500], [0.226, 0.211, 0.159], [0.226, 0.789, 0.159], [0.243, 0.000, 0.692], [0.278, 0.500, 0.638], [0.722, 0.500, 0.362], [0.757, 0.000, 0.308], [0.774, 0.211, 0.841], [0.774, 0.789, 0.841]], "total_magnetization_mub_per_cell": 0.0, "e_form_raw_mev_per_atom": -1464, "energy_ev_per_cell": -46.97, "sg": "P2/m (10)"}


# 2
{"formula": "UIn2PbCl8", "functional": "PBE", "state": "relaxed", "lattice": [[6.968, 0.000, 0.000], [0.330, 7.175, 0.000], [0.035, 0.004, 8.717]], "species": ["U", "In", "In", "Pb", "Cl", "Cl", "Cl", "Cl", "Cl", "Cl", "Cl", "Cl"], "frac_coords": [[0.000, 0.000, 0.000], [0.498, 0.500, 0.257], [0.501, 0.500, 0.743], [0.000, 0.000, 0.500], [0.204, 0.692, 0.000], [0.212, 0.134, 0.772], [0.216, 0.129, 0.227], [0.261, 0.679, 0.501], [0.739, 0.321, 0.499], [0.784, 0.871, 0.773], [0.788, 0.866, 0.228], [0.796, 0.308, 0.000]], "total_magnetization_mub_per_cell": 2.0, "e_form_raw_mev_per_atom": -1280, "energy_ev_per_cell": -50.60, "sg": "P-1 (2)"}


# 3
{"formula": "VIn2PbCl6", "functional": "PBE", "state": "relaxed", "lattice": [[7.422, 0.000, 0.000], [0.000, 7.422, 0.000], [0.000, 0.000, 5.661]], "species": ["V", "In", "In", "Pb", "Cl", "Cl", "Cl", "Cl", "Cl", "Cl"], "frac_coords": [[0.000, 0.000, 0.000], [0.000, 0.500, 0.399], [0.500, 0.000, 0.399], [0.500, 0.500, 0.973], [0.000, 0.000, 0.577], [0.230, 0.230, 0.070], [0.230, 0.770, 0.070], [0.500, 0.500, 0.483], [0.770, 0.230, 0.070], [0.770, 0.770, 0.070]], "total_magnetization_mub_per_cell": 3.0, "e_form_raw_mev_per_atom": -946, "energy_ev_per_cell": -38.84, "sg": "P4mm (99)"}


What did the first record say?
{"formula": "TmInPb2Cl8", "functional": "PBE", "state": "relaxed", "lattice": [[6.534, 0.000, 0.000], [0.000, 8.902, 0.000], [-0.106, 0.000, 6.820]], "species": ["Tm", "In", "Pb", "Pb", "Cl", "Cl", "Cl", "Cl", "Cl", "Cl", "Cl", "Cl"], "frac_coords": [[0.000, 0.000, 0.000], [0.000, 0.500, 0.000], [0.500, 0.249, 0.500], [0.500, 0.751, 0.500], [0.226, 0.211, 0.159], [0.226, 0.789, 0.159], [0.243, 0.000, 0.692], [0.278, 0.500, 0.638], [0.722, 0.500, 0.362], [0.757, 0.000, 0.308], [0.774, 0.211, 0.841], [0.774, 0.789, 0.841]], "total_magnetization_mub_per_cell": 0.0, "e_form_raw_mev_per_atom": -1464, "energy_ev_per_cell": -46.97, "sg": "P2/m (10)"}